No. 1
A plane-wave DFT calculation with PBE was carried out for crystalline Dy4HgPbN at its relaxed geometry.

The calculated volume comes out at 25.19 A^3/atom. Its symmetry is Cmcm.

abc: 6.692 6.688 8.559
angles: 90.00 113.01 90.00
Fractional coordinates of all 14 atoms:
Dy 0.590 0.250 0.181
Dy 0.500 0.500 0.500
Dy 0.000 0.500 0.500
Dy 0.080 0.750 0.161
Dy 0.920 0.250 0.839
Dy 0.500 0.000 0.500
Dy 0.410 0.750 0.819
Dy 0.000 0.000 0.500
Pb 0.392 0.250 0.784
Pb 0.608 0.750 0.216
Hg 0.115 0.250 0.230
Hg 0.885 0.750 0.770
N 0.747 0.250 0.495
N 0.253 0.750 0.505

No. 2
A plane-wave DFT calculation with PBE was carried out for crystalline Dy2ScHgN at its relaxed geometry.

The calculated volume comes out at 20.69 A^3/atom. Its symmetry is P4/mmm.

abc: 4.451 4.821 4.821
angles: 90.00 90.00 90.00
Fractional coordinates of all 5 atoms:
Sc 0.500 0.000 0.000
Dy 0.000 0.000 0.500
Dy 0.000 0.500 0.000
N 0.000 0.000 0.000
Hg 0.500 0.500 0.500

No. 3
A plane-wave DFT calculation with PBE was carried out for crystalline Sm2DyHgN at its relaxed geometry.

The calculated volume comes out at 23.47 A^3/atom. Its symmetry is P4/mmm.

abc: 4.787 4.952 4.952
angles: 90.00 90.00 90.00
Fractional coordinates of all 5 atoms:
Hg 0.500 0.500 0.500
Dy 0.500 0.000 0.000
N 0.000 0.000 0.000
Sm 0.000 0.500 0.000
Sm 0.000 0.000 0.500

No. 4
A plane-wave DFT calculation with PBE was carried out for crystalline TbDy2HgN at its relaxed geometry.

The calculated volume comes out at 22.27 A^3/atom. Its symmetry is P4/mmm.

abc: 4.830 4.802 4.802
angles: 90.00 90.00 90.00
Fractional coordinates of all 5 atoms:
Dy 0.000 0.500 0.000
Dy 0.000 0.000 0.500
Hg 0.500 0.500 0.500
N 0.000 0.000 0.000
Tb 0.500 0.000 0.000

No. 5
A plane-wave DFT calculation with PBE was carried out for crystalline Tb2DyHgN at its relaxed geometry.

The calculated volume comes out at 22.41 A^3/atom. Its symmetry is P4/mmm.

abc: 4.800 4.832 4.832
angles: 90.00 90.00 90.00
Fractional coordinates of all 5 atoms:
N 0.000 0.000 0.000
Tb 0.000 0.000 0.500
Tb 0.000 0.500 0.000
Hg 0.500 0.500 0.500
Dy 0.500 0.000 0.000

No. 6
A plane-wave DFT calculation with PBE was carried out for crystalline DyTm2HgN at its relaxed geometry.

The calculated volume comes out at 21.36 A^3/atom. Its symmetry is P4/mmm.

abc: 4.794 4.720 4.720
angles: 90.00 90.00 90.00
Fractional coordinates of all 5 atoms:
N 0.000 0.000 0.000
Dy 0.500 0.000 0.000
Hg 0.500 0.500 0.500
Tm 0.000 0.000 0.500
Tm 0.000 0.500 0.000

No. 7
A plane-wave DFT calculation with PBE was carried out for crystalline DyY2HgN at its relaxed geometry.

The calculated volume comes out at 22.24 A^3/atom. Its symmetry is P4/mmm.

abc: 4.806 4.811 4.811
angles: 90.00 90.00 90.00
Fractional coordinates of all 5 atoms:
N 0.000 0.000 0.000
Hg 0.500 0.500 0.500
Y 0.000 0.500 0.000
Y 0.000 0.000 0.500
Dy 0.500 0.000 0.000

No. 8
A plane-wave DFT calculation with PBE was carried out for crystalline Dy2YHgN at its relaxed geometry.

The calculated volume comes out at 22.19 A^3/atom. Its symmetry is P4/mmm.

abc: 4.809 4.803 4.803
angles: 90.00 90.00 90.00
Fractional coordinates of all 5 atoms:
Y 0.500 0.000 0.000
Hg 0.500 0.500 0.500
N 0.000 0.000 0.000
Dy 0.000 0.500 0.000
Dy 0.000 0.000 0.500

Computed values of energy relative to the elements, uncorrected (unit: eV/f.u.) for the preceding records, in sequence: -5.5 -4.8 -4.2 -4.6 -4.6 -4.8 -4.7 -4.6.
Computed values of Fermi-level density of states (unit: states/eV/atom) for the preceding records, in sequence: 0.572 0.772 0.846 0.641 0.679 0.651 0.696 0.656.